The following is a DFT calculation (GGA-PBE) of a relaxed structure of BaAlPt2.

Calculated values
- symmetry = F-43m, No. 216
- VASP energy (Ry/atom) = -0.327
- magnetic moment (μB/f.u.) = 0.00
- E_form (eV per atom) = -0.008

Cell lengths 4.985, 4.985, 4.985 Å; angles 60.00, 60.00, 60.00 degrees
Fractional coordinates of all 4 atoms:
Ba 0.000 0.000 0.000
Al 0.250 0.250 0.250
Pt 0.500 0.500 0.500
Pt 0.750 0.750 0.750